<one>
A plane-wave DFT calculation with GGA-PBE was carried out for a geometry-optimized HIrW2 structure.

a = 2.8085 Å, b = 2.8085 Å, c = 22.7542 Å
α = 90.00°, β = 90.00°, γ = 120.00°
Closest atoms and distances in Å follow each position.
Space group R-3m (No. 166, hexagonal axes)
Symmetry-distinct sites (fractional):
H: 0.0000 0.0000 0.0000 x3  6 W 2.05
Ir: 0.0000 0.0000 0.5000 x3  2 W 2.53, 6 Ir 2.81
W: 0.0000 0.0000 0.3887 x6  3 H 2.05

Total magnetic moment, Bohr magnetons per cell: 0.00

<two>
A plane-wave DFT calculation with GGA-PBE was carried out for a geometry-optimized HIrW2 structure.

a = 6.0502 Å, b = 6.0502 Å, c = 6.0502 Å
α = 90.00°, β = 90.00°, γ = 90.00°
Closest atoms and distances in Å follow each position.
Space group Fm-3m (No. 225)
Symmetry-distinct sites (fractional):
H: 0.0000 0.0000 0.0000 x4  8 W 2.62
Ir: 0.0000 0.0000 0.5000 x4  8 W 2.62
W: 0.2500 0.2500 0.2500 x8  4 H 2.62, 4 Ir 2.62

Total magnetic moment, Bohr magnetons per cell: 0.00

<three>
A plane-wave DFT calculation with GGA-PBE was carried out for a geometry-optimized HIrW2 structure.

a = 4.7163 Å, b = 4.7163 Å, c = 10.6755 Å
α = 90.00°, β = 90.00°, γ = 90.00°
Closest atoms and distances in Å follow each position.
Space group I-42d (No. 122)
Symmetry-distinct sites (fractional):
H: 0.0000 0.0000 0.0000 x4  4 W 1.87
Ir: 0.0000 0.0000 0.5000 x4  4 W 2.51
W: 0.1242 0.2500 0.1250 x8  2 H 1.87

Total magnetic moment, Bohr magnetons per cell: 0.00

Bottom line: <one>, by a margin of 0.084 eV/atom.

<one>
A plane-wave DFT calculation with GGA-PBE was carried out for a geometry-optimized HIrW3 structure.

a = 4.0165 Å, b = 4.0165 Å, c = 4.0165 Å
α = 90.00°, β = 90.00°, γ = 90.00°
Closest atoms and distances in Å follow each position.
Space group Pm-3m (No. 221)
Symmetry-distinct sites (fractional):
H: 0.0000 0.0000 0.0000 x1  6 W 2.01
Ir: 0.5000 0.5000 0.5000 x1  12 W 2.84
W: 0.0000 0.0000 0.5000 x3  2 H 2.01

Total magnetic moment, Bohr magnetons per cell: 0.00

<two>
A plane-wave DFT calculation with GGA-PBE was carried out for a geometry-optimized HIrW3 structure.

a = 4.7749 Å, b = 4.7749 Å, c = 4.7749 Å
α = 90.00°, β = 90.00°, γ = 90.00°
Closest atoms and distances in Å follow each position.
Space group Pm-3m (No. 221)
Symmetry-distinct sites (fractional):
H: 0.0000 0.0000 0.0000 x1  12 W 3.38
Ir: 0.5000 0.5000 0.5000 x1  6 W 2.39
W: 0.0000 0.5000 0.5000 x3  2 Ir 2.39

Total magnetic moment, Bohr magnetons per cell: 0.00

Bottom line: <one>, by a margin of 2.586 eV/atom.

<one>
A plane-wave DFT calculation with GGA-PBE was carried out for a geometry-optimized H3IrW structure.

a = 3.4691 Å, b = 3.4691 Å, c = 3.4691 Å
α = 90.00°, β = 90.00°, γ = 90.00°
Closest atoms and distances in Å follow each position.
Space group Pm-3m (No. 221)
Symmetry-distinct sites (fractional):
H: 0.0000 0.0000 0.5000 x3  2 W 1.73
Ir: 0.5000 0.5000 0.5000 x1  12 H 2.45
W: 0.0000 0.0000 0.0000 x1  6 H 1.73

Total magnetic moment, Bohr magnetons per cell: 0.02

<two>
A plane-wave DFT calculation with GGA-PBE was carried out for a geometry-optimized H3IrW structure.

a = 3.4419 Å, b = 3.4419 Å, c = 3.4419 Å
α = 90.00°, β = 90.00°, γ = 90.00°
Closest atoms and distances in Å follow each position.
Space group Pm-3m (No. 221)
Symmetry-distinct sites (fractional):
H: 0.0000 0.0000 0.5000 x3  2 Ir 1.72
Ir: 0.0000 0.0000 0.0000 x1  6 H 1.72
W: 0.5000 0.5000 0.5000 x1  12 H 2.43

Total magnetic moment, Bohr magnetons per cell: 0.00

Bottom line: <two>, by a margin of 0.199 eV/atom.